The following is a DFT calculation (PBE) of a relaxed structure of TcNi4.

a = 4.6413 Å, b = 4.6413 Å, c = 4.6413 Å
α = 109.47°, β = 109.47°, γ = 109.47°
Closest atoms and distances in Å follow each position.
Fractional coordinates of all 5 atoms:
Tc: 0.0000 0.0000 0.0000  8 Ni 2.32
Ni: 0.5000 0.0000 0.0000  2 Tc 2.32
Ni: 0.5000 0.5000 0.5000  2 Tc 2.32
Ni: 0.0000 0.5000 0.0000  2 Tc 2.32
Ni: 0.0000 0.0000 0.5000  2 Tc 2.32

Summary:
* ΔE_f: 959 meV/atom